Entry 1:
TbCeDyPb: relaxed, PBE.

Cell and atoms, written as POSCAR:
```
TbCeDyPb
1.0
0.000 3.852 3.852
3.852 0.000 3.852
3.852 3.852 0.000
Tb Ce Dy Pb
1 1 1 1
Direct
0.000 0.000 0.000
0.750 0.750 0.750
0.500 0.500 0.500
0.250 0.250 0.250
```

Values from the calculation:
Space group: F-43m, No. 216
Mass density (Mg/m³): 9.7
Spin magnetization (Bohr magnetons per cell): 0.88
Total DFT energy (no corrections) (eV/atom): -4.78


Entry 2:
Na3Ac3PuO8: relaxed, PBE.

Cell and atoms, written as POSCAR:
```
Na3Ac3PuO8
1.0
3.766 2.174 5.583
-3.766 2.174 5.583
0.000 -4.349 5.583
Na Ac Pu O
3 3 1 8
Direct
0.000 0.500 0.500
0.500 0.000 0.500
0.500 0.500 0.000
0.000 0.000 0.500
0.000 0.500 0.000
0.500 0.000 0.000
0.500 0.500 0.500
0.240 0.240 0.240
0.268 0.717 0.717
0.283 0.283 0.732
0.283 0.732 0.283
0.717 0.268 0.717
0.717 0.717 0.268
0.732 0.283 0.283
0.760 0.760 0.760
```

Values from the calculation:
E_form (uncorrected) (meV per atom): -2628
Space group: R-3m, No. 166
Mass density (Mg/m³): 6.8
Spin magnetization (Bohr magnetons per cell): 4.00
Total DFT energy (no corrections) (eV/atom): -7.31


Entry 3:
AlAs2Rh: relaxed, PBE.

Cell and atoms, written as POSCAR:
```
AlAs2Rh
1.0
3.673 0.000 0.000
0.000 4.007 0.000
0.000 0.000 4.573
Al As Rh
1 2 1
Direct
0.000 0.000 0.000
0.000 0.500 0.500
0.500 0.000 0.500
0.500 0.500 0.000
```

Values from the calculation:
Space group: Pmmm, No. 47
Mass density (Mg/m³): 6.9
Spin magnetization (Bohr magnetons per cell): 0.00
Total DFT energy (no corrections) (eV/atom): -5.09


Entry 4:
ZrTiSnOs2: relaxed, PBE.

Cell and atoms, written as POSCAR:
```
ZrTiSnOs2
1.0
4.601 0.000 0.000
0.000 4.601 0.000
0.000 0.000 4.894
Zr Ti Sn Os
1 1 1 2
Direct
0.000 0.000 0.000
0.000 0.000 0.500
0.500 0.500 0.000
0.000 0.500 0.500
0.500 0.000 0.500
```

Values from the calculation:
Space group: P4/mmm, No. 123
Mass density (Mg/m³): 10.2
Spin magnetization (Bohr magnetons per cell): 0.33
Total DFT energy (no corrections) (eV/atom): -7.52


Entry 5:
ZrMnSi: relaxed, PBE.

Cell and atoms, written as POSCAR:
```
ZrMnSi
1.0
4.061 0.000 0.000
-2.031 3.517 0.000
0.000 0.000 3.291
Zr Mn Si
1 1 1
Direct
0.000 0.000 0.000
0.333 0.667 0.500
0.667 0.333 0.500
```

Values from the calculation:
E_form (uncorrected) (meV per atom): -399
Space group: P-6m2, No. 187
Mass density (Mg/m³): 6.2
Spin magnetization (Bohr magnetons per cell): 0.59
Total DFT energy (no corrections) (eV/atom): -8.11


Entry 6:
BaTc2Os: relaxed, PBE.

Cell and atoms, written as POSCAR:
```
BaTc2Os
1.0
2.908 0.000 0.000
0.000 3.665 0.000
-0.021 0.000 7.793
Ba Tc Os
1 2 1
Direct
0.000 0.000 0.000
0.500 0.500 0.338
0.500 0.500 0.662
0.000 0.000 0.500
```

Values from the calculation:
Energy above the most stable polymorph in this dataset (eV per formula unit): 0.00
Space group: P2/m, No. 10
Mass density (Mg/m³): 10.5
Spin magnetization (Bohr magnetons per cell): 0.00
Total DFT energy (no corrections) (eV/atom): -7.76


Entry 7:
NdPu2Pt: relaxed, PBE.

Cell and atoms, written as POSCAR:
```
NdPu2Pt
1.0
1.813 1.046 10.367
-1.813 1.046 10.367
0.000 -2.093 10.367
Nd Pu Pt
1 2 1
Direct
0.000 0.000 0.000
0.105 0.105 0.105
0.895 0.895 0.895
0.500 0.500 0.500
```

Values from the calculation:
Energy above the most stable polymorph in this dataset (eV per formula unit): 1.02
Space group: R-3m, No. 166
Mass density (Mg/m³): 11.6
Spin magnetization (Bohr magnetons per cell): 11.91
Total DFT energy (no corrections) (eV/atom): -9.89


Entry 8:
IrPt3: relaxed, PBE.

Cell and atoms, written as POSCAR:
```
IrPt3
1.0
1.395 0.805 9.109
-1.395 0.805 9.109
0.000 -1.611 9.109
Ir Pt
1 3
Direct
0.000 0.000 0.000
0.252 0.252 0.252
0.500 0.500 0.500
0.748 0.748 0.748
```

Values from the calculation:
Space group: R-3m, No. 166
Mass density (Mg/m³): 21.0
Spin magnetization (Bohr magnetons per cell): 0.43
Total DFT energy (no corrections) (eV/atom): -6.75


Entry 9:
MnTl2Cd: relaxed, PBE.

Cell and atoms, written as POSCAR:
```
MnTl2Cd
1.0
3.501 0.000 0.000
0.000 4.749 0.000
-1.683 0.000 5.822
Mn Tl Cd
1 2 1
Direct
0.000 0.000 0.000
0.271 0.000 0.508
0.572 0.500 0.146
0.858 0.500 0.696
```

Values from the calculation:
Energy above the most stable polymorph in this dataset (eV per formula unit): 0.28
Space group: Pm, No. 6
Mass density (Mg/m³): 9.9
Spin magnetization (Bohr magnetons per cell): 3.93
Total DFT energy (no corrections) (eV/atom): -3.37


Entry 10:
RuSeI3: relaxed, PBE.

Cell and atoms, written as POSCAR:
```
RuSeI3
1.0
5.334 0.000 0.000
0.000 5.334 0.000
0.000 0.000 5.334
Ru Se I
1 1 3
Direct
0.000 0.000 0.000
0.500 0.500 0.500
0.000 0.000 0.500
0.000 0.500 0.000
0.500 0.000 0.000
```

Values from the calculation:
E_form (uncorrected) (meV per atom): 598
Energy above the most stable polymorph in this dataset (eV per formula unit): 0.00
Space group: Pm-3m, No. 221
Mass density (Mg/m³): 6.1
Spin magnetization (Bohr magnetons per cell): 0.00
Total DFT energy (no corrections) (eV/atom): -2.88


Entry 11:
Dy3Co2Ge4: relaxed, PBE.

Cell and atoms, written as POSCAR:
```
Dy3Co2Ge4
1.0
5.343 -2.065 0.000
5.343 2.065 0.000
-1.844 0.000 7.937
Dy Co Ge
3 2 4
Direct
0.000 0.000 0.000
0.339 0.339 0.343
0.661 0.661 0.657
0.394 0.394 0.719
0.606 0.606 0.281
0.061 0.061 0.378
0.281 0.281 0.926
0.719 0.719 0.074
0.939 0.939 0.622
```

Values from the calculation:
Energy above the most stable polymorph in this dataset (eV per formula unit): 0.69
Space group: C2/m, No. 12
Mass density (Mg/m³): 8.5
Spin magnetization (Bohr magnetons per cell): 0.00
Total DFT energy (no corrections) (eV/atom): -5.81


Entry 12:
Ba4Mg3Tl: relaxed, PBE.

Cell and atoms, written as POSCAR:
```
Ba4Mg3Tl
1.0
4.315 0.000 0.000
0.000 4.315 0.000
0.000 0.000 17.613
Ba Mg Tl
4 3 1
Direct
0.000 0.000 0.119
0.000 0.000 0.373
0.000 0.000 0.627
0.000 0.000 0.881
0.500 0.500 0.249
0.500 0.500 0.500
0.500 0.500 0.751
0.500 0.500 0.000
```

Values from the calculation:
Space group: P4/mmm, No. 123
Mass density (Mg/m³): 4.2
Spin magnetization (Bohr magnetons per cell): 0.00
Total DFT energy (no corrections) (eV/atom): -2.00


Entry 13:
LaGdLuTh: relaxed, PBE.

Cell and atoms, written as POSCAR:
```
LaGdLuTh
1.0
0.000 4.035 4.035
4.035 0.000 4.035
4.035 4.035 0.000
La Gd Lu Th
1 1 1 1
Direct
0.000 0.000 0.000
0.750 0.750 0.750
0.250 0.250 0.250
0.500 0.500 0.500
```

Values from the calculation:
Space group: F-43m, No. 216
Mass density (Mg/m³): 8.9
Spin magnetization (Bohr magnetons per cell): 7.35
Total DFT energy (no corrections) (eV/atom): -7.62


Entry 14:
SnOs3N: relaxed, PBE.

Cell and atoms, written as POSCAR:
```
SnOs3N
1.0
4.136 0.000 0.000
0.000 4.136 0.000
0.000 0.000 4.136
Sn Os N
1 3 1
Direct
0.000 0.000 0.000
0.000 0.500 0.500
0.500 0.000 0.500
0.500 0.500 0.000
0.500 0.500 0.500
```

Values from the calculation:
E_form (uncorrected) (meV per atom): 768
Energy above the most stable polymorph in this dataset (eV per formula unit): 0.00
Space group: Pm-3m, No. 221
Mass density (Mg/m³): 16.5
Spin magnetization (Bohr magnetons per cell): 0.00
Total DFT energy (no corrections) (eV/atom): -8.44


Entry 15:
CsCO3: relaxed, PBE.

Cell and atoms, written as POSCAR:
```
CsCO3
1.0
4.302 0.000 0.000
0.000 4.302 0.000
0.000 0.000 4.302
Cs C O
1 1 3
Direct
0.000 0.000 0.000
0.500 0.500 0.500
0.000 0.000 0.500
0.000 0.500 0.000
0.500 0.000 0.000
```

Values from the calculation:
E_form (uncorrected) (meV per atom): 2334
Space group: Pm-3m, No. 221
Mass density (Mg/m³): 4.0
Spin magnetization (Bohr magnetons per cell): 0.99
Total DFT energy (no corrections) (eV/atom): -2.66


Entry 16:
BaYMo: relaxed, PBE.

Cell and atoms, written as POSCAR:
```
BaYMo
1.0
-1.810 1.810 7.225
1.810 -1.810 7.225
1.810 1.810 -7.225
Ba Y Mo
1 1 1
Direct
0.000 0.000 0.000
0.732 0.732 0.000
0.343 0.343 0.000
```

Values from the calculation:
Energy above the most stable polymorph in this dataset (eV per formula unit): 0.00
Space group: I4mm, No. 107
Mass density (Mg/m³): 5.6
Spin magnetization (Bohr magnetons per cell): 1.83
Total DFT energy (no corrections) (eV/atom): -5.67


Entry 17:
Pm6ErIn4: relaxed, PBE.

Cell and atoms, written as POSCAR:
```
Pm6ErIn4
1.0
-3.935 3.935 6.009
3.935 -3.935 6.009
3.935 3.935 -6.009
Pm Er In
6 1 4
Direct
0.000 0.500 0.500
0.028 0.028 0.621
0.407 0.407 0.379
0.500 0.000 0.500
0.593 0.972 0.000
0.972 0.593 0.000
0.500 0.500 0.000
0.095 0.095 0.323
0.228 0.905 0.000
0.772 0.772 0.677
0.905 0.228 0.000
```

Values from the calculation:
Space group: I-42m, No. 121
Mass density (Mg/m³): 6.7
Spin magnetization (Bohr magnetons per cell): 0.00
Total DFT energy (no corrections) (eV/atom): -4.12


Entry 18:
ZnAg2P: relaxed, PBE.

Cell and atoms, written as POSCAR:
```
ZnAg2P
1.0
2.808 0.000 0.000
0.000 2.808 0.000
0.000 0.000 8.451
Zn Ag P
1 2 1
Direct
0.000 0.000 0.000
0.500 0.500 0.239
0.500 0.500 0.761
0.000 0.000 0.500
```

Values from the calculation:
Energy above the most stable polymorph in this dataset (eV per formula unit): 0.24
Space group: P4/mmm, No. 123
Mass density (Mg/m³): 7.8
Spin magnetization (Bohr magnetons per cell): 0.00
Total DFT energy (no corrections) (eV/atom): -2.87


Entry 19:
LiAcZr2N4: relaxed, PBE.

Cell and atoms, written as POSCAR:
```
LiAcZr2N4
1.0
1.691 -5.549 0.000
1.691 5.549 0.000
0.000 0.000 11.289
Li Ac Zr N
2 2 4 8
Direct
0.164 0.836 0.750
0.836 0.164 0.250
0.104 0.896 0.250
0.896 0.104 0.750
0.365 0.635 0.057
0.365 0.635 0.443
0.635 0.365 0.557
0.635 0.365 0.943
0.000 0.000 0.000
0.000 0.000 0.500
0.261 0.739 0.607
0.261 0.739 0.893
0.430 0.570 0.250
0.570 0.430 0.750
0.739 0.261 0.107
0.739 0.261 0.393
```

Values from the calculation:
E_form (uncorrected) (meV per atom): -1370
Space group: Cmcm, No. 63
Mass density (Mg/m³): 7.4
Spin magnetization (Bohr magnetons per cell): 0.00
Total DFT energy (no corrections) (eV/atom): -8.42


Entry 20:
CoB2HAu: relaxed, PBE.

Cell and atoms, written as POSCAR:
```
CoB2HAu
1.0
3.678 0.000 0.000
0.000 3.678 0.000
0.000 0.000 3.443
Co B H Au
1 2 1 1
Direct
0.000 0.000 0.000
0.000 0.500 0.500
0.500 0.000 0.500
0.500 0.500 0.500
0.500 0.500 0.000
```

Values from the calculation:
Space group: P4/mmm, No. 123
Mass density (Mg/m³): 9.9
Spin magnetization (Bohr magnetons per cell): 0.78
Total DFT energy (no corrections) (eV/atom): -4.13